# 1
Compound: BaTa4Fe
Source: Alexandria
Functional: PBE
Structure: optimized geometry

Density   11.81 g/cm³
Total DFT energy (no corrections)   -8.652 eV per atom
Energy of formation   0.981 eV/atom
Crystal system   cubic

Cell: 8.0195 8.0195 8.0195 Å, 90.00 90.00 90.00°
Space group F-43m (No. 216)
Symmetry-distinct sites (fractional):
Ba1 0.0000 0.0000 0.0000 [4 per cell]
Ta1 0.1250 0.1250 0.3750 [16 per cell]
Fe1 0.2500 0.2500 0.7500 [4 per cell]

---

# 2
Compound: BaTaFe2
Source: Alexandria
Functional: PBE
Structure: optimized geometry

Density   8.56 g/cm³
Total DFT energy (no corrections)   -6.485 eV per atom
Energy of formation   1.190 eV/atom
E above lowest polymorph   768 meV/atom
Crystal system   tetragonal

Cell: 7.1784 7.1784 6.4739 Å, 90.00 90.00 90.00°
Space group I-42d (No. 122)
Symmetry-distinct sites (fractional):
Ba1 0.0000 0.0000 0.0000 [4 per cell]
Ta1 0.0000 0.0000 0.5000 [4 per cell]
Fe1 0.1914 0.2500 0.6250 [8 per cell]

---

# 3
Compound: Ba2Ta2Fe
Source: Alexandria
Functional: PBE
Structure: optimized geometry

Density   8.28 g/cm³
Total DFT energy (no corrections)   -5.204 eV per atom
Energy of formation   1.998 eV/atom
E above lowest polymorph   1129 meV/atom
Crystal system   tetragonal

Cell: 4.1641 4.1641 16.0221 Å, 90.00 90.00 90.00°
Space group I4/mmm (No. 139)
Symmetry-distinct sites (fractional):
Ba1 0.0000 0.5000 0.2500 [4 per cell]
Ta1 0.0000 0.0000 0.0713 [4 per cell]
Fe1 0.0000 0.0000 0.5000 [2 per cell]

---

# 4
Compound: Ba2TaFe
Source: Alexandria
Functional: PBE
Structure: optimized geometry

Density   6.96 g/cm³
Total DFT energy (no corrections)   -5.313 eV per atom
Energy of formation   0.727 eV/atom
E above lowest polymorph   168 meV/atom
Crystal system   orthorhombic

Cell: 3.5754 5.7873 11.7998 Å, 90.00 90.00 90.00°
Space group Imm2 (No. 44)
Symmetry-distinct sites (fractional):
Ba1 0.0000 0.0000 0.0000 [2 per cell]
Ba2 0.0000 0.5000 0.2021 [2 per cell]
Ta1 0.0000 0.0000 0.3853 [2 per cell]
Fe1 0.0000 0.5000 0.7614 [2 per cell]

---

# 5
Compound: BaTaFe
Source: Alexandria
Functional: PBE
Structure: optimized geometry

Density   8.14 g/cm³
Total DFT energy (no corrections)   -5.057 eV per atom
Energy of formation   2.356 eV/atom
E above lowest polymorph   1551 meV/atom
Crystal system   cubic

Cell: 6.7325 6.7325 6.7325 Å, 90.00 90.00 90.00°
Space group F-43m (No. 216)
Symmetry-distinct sites (fractional):
Ba1 0.0000 0.0000 0.0000 [4 per cell]
Ta1 0.2500 0.2500 0.7500 [4 per cell]
Fe1 0.2500 0.2500 0.2500 [4 per cell]

---

# 6
Compound: BaTaFe2
Source: Alexandria
Functional: PBE
Structure: optimized geometry

Density   7.96 g/cm³
Total DFT energy (no corrections)   -7.085 eV per atom
Energy of formation   0.590 eV/atom
E above lowest polymorph   168 meV/atom
Crystal system   orthorhombic

Cell: 3.6393 3.6882 13.3603 Å, 90.00 90.00 90.00°
Space group Amm2 (No. 38)
Symmetry-distinct sites (fractional):
Ba1 0.0000 0.0000 0.0000 [2 per cell]
Ta1 0.5000 0.0000 0.7266 [2 per cell]
Fe1 0.0000 0.0000 0.2534 [2 per cell]
Fe2 0.5000 0.0000 0.3525 [2 per cell]

---

# 7
Compound: Ba2TaFe
Source: Alexandria
Functional: PBE
Structure: optimized geometry

Density   7.49 g/cm³
Total DFT energy (no corrections)   -4.737 eV per atom
Energy of formation   1.303 eV/atom
E above lowest polymorph   744 meV/atom
Crystal system   monoclinic

Cell: 6.0884 3.3066 6.1020 Å, 90.00 112.59 90.00°
Space group P2/m (No. 10)
Symmetry-distinct sites (fractional):
Ba1 0.0000 0.0000 0.0000 [1 per cell]
Ba2 0.5000 0.0000 0.5000 [1 per cell]
Ta1 0.0000 0.5000 0.5000 [1 per cell]
Fe1 0.5000 0.5000 0.0000 [1 per cell]

---

# 8
Compound: BaTaFe2
Source: Alexandria
Functional: PBE
Structure: optimized geometry

Density   8.00 g/cm³
Total DFT energy (no corrections)   -6.662 eV per atom
Energy of formation   1.013 eV/atom
E above lowest polymorph   591 meV/atom
Crystal system   orthorhombic

Cell: 4.3691 5.7052 7.1636 Å, 90.00 90.00 90.00°
Space group Immm (No. 71)
Symmetry-distinct sites (fractional):
Ba1 0.0000 0.0000 0.0000 [2 per cell]
Ta1 0.0000 0.0000 0.5000 [2 per cell]
Fe1 0.0000 0.5000 0.1830 [4 per cell]